Record 1
Entry from Alexandria via LeMat-Bulk: a geometry-optimized LiNpGe2 structure (GGA-PBE).

Calculated values
Formation energy from the elements in kJ/mol of atoms: -17
E_tot in eV per cell: -24.801
Crystal system: tetragonal

The structure in POSCAR format:
```
LiNpGe2
1.0
4.3885 0.0000 0.0000
0.0000 4.3885 0.0000
0.0000 0.0000 3.9999
Li Np Ge
1 1 2
Direct
0.0000 0.0000 0.0000 Li
0.5000 0.5000 0.0000 Np
0.0000 0.5000 0.5000 Ge
0.5000 0.0000 0.5000 Ge
```

=====

Record 2
Entry from Alexandria via LeMat-Bulk: a geometry-optimized LiNpGe4 structure (GGA-PBE).

Calculated values
Formation energy from the elements in kJ/mol of atoms: -1
E_tot in eV per cell: -33.382
Crystal system: cubic

The structure in POSCAR format:
```
LiNpGe4
1.0
0.0000 3.8903 3.8903
3.8903 0.0000 3.8903
3.8903 3.8903 0.0000
Li Np Ge
1 1 4
Direct
0.0000 0.0000 0.0000 Li
0.7500 0.7500 0.7500 Np
0.3750 0.3750 0.3750 Ge
0.3750 0.3750 0.8749 Ge
0.3750 0.8749 0.3750 Ge
0.8749 0.3750 0.3750 Ge
```

=====

Record 3
Entry from Alexandria via LeMat-Bulk: a geometry-optimized LiNpGe structure (GGA-PBE).

Calculated values
Formation energy from the elements in kJ/mol of atoms: -8
E_tot in eV per cell: -19.708
Crystal system: hexagonal

The structure in POSCAR format:
```
LiNpGe
1.0
4.6748 0.0000 0.0000
-2.3374 4.0485 0.0000
0.0000 0.0000 3.0230
Li Np Ge
1 1 1
Direct
0.0000 0.0000 0.0000 Li
0.6667 0.3333 0.5000 Np
0.3333 0.6667 0.0000 Ge
```

=====

Record 4
Entry from Alexandria via LeMat-Bulk: a geometry-optimized LiNpGe2 structure (GGA-PBE).

Calculated values
Formation energy from the elements in kJ/mol of atoms: -15
E_tot in eV per cell: -24.701
Crystal system: cubic

The structure in POSCAR format:
```
LiNpGe2
1.0
0.0000 3.3764 3.3764
3.3764 0.0000 3.3764
3.3764 3.3764 0.0000
Li Np Ge
1 1 2
Direct
0.0000 0.0000 0.0000 Li
0.5000 0.5000 0.5000 Np
0.2500 0.2500 0.2500 Ge
0.7500 0.7500 0.7500 Ge
```